# 1
Below is crystalline CsSiTeN2 at its relaxed geometry, with properties calculated at the PBE-GGA level.

Summary:
E above lowest polymorph = 1119.6 meV/atom

Cell lengths 4.4123, 4.4123, 7.6136 Å; angles 90.00, 90.00, 90.00 degrees
Positions (direct):
Cs 0.0000 0.0000 0.0000
Si 0.5000 0.5000 0.5000
Te 0.0000 0.0000 0.5000
N 0.0000 0.5000 0.0000
N 0.5000 0.0000 0.0000



# 2
Below is crystalline Cs2SiTeN at its relaxed geometry, with properties calculated at the PBE-GGA level.

Cell lengths 7.1334, 7.1334, 3.5184 Å; angles 90.00, 90.00, 90.00 degrees
Positions (direct):
Cs 0.0000 0.5000 0.0000
Cs 0.5000 0.0000 0.0000
Si 0.0000 0.0000 0.0000
Te 0.5000 0.5000 0.5000
N 0.0000 0.0000 0.5000



# 3
Below is crystalline CsSiTeN2 at its relaxed geometry, with properties calculated at the PBE-GGA level.

Summary:
E above lowest polymorph = 0.0 meV/atom

Cell lengths 4.3792, 4.3792, 5.3541 Å; angles 90.00, 90.00, 90.00 degrees
Positions (direct):
Cs 0.0000 0.0000 0.0000
Si 0.5000 0.5000 0.5000
Te 0.5000 0.5000 0.0000
N 0.0000 0.5000 0.5000
N 0.5000 0.0000 0.5000



# 4
Below is crystalline CsSm2Tc2N6 at its relaxed geometry, with properties calculated at the PBE-GGA level.

Cell lengths 6.5326, 6.7385, 6.9676 Å; angles 93.40, 116.05, 117.37 degrees
Positions (direct):
Cs 0.0000 0.0000 0.0000
Sm 0.3524 0.6753 0.2908
Sm 0.6476 0.3247 0.7092
Tc 0.2316 0.6402 0.6834
Tc 0.7684 0.3598 0.3166
N 0.1526 0.6235 0.9050
N 0.3501 0.9122 0.6233
N 0.4209 0.5193 0.6734
N 0.5791 0.4807 0.3266
N 0.6499 0.0878 0.3767
N 0.8474 0.3765 0.0950



# 5
Below is crystalline CsSmWN3 at its relaxed geometry, with properties calculated at the PBE-GGA level.

Cell lengths 7.1914, 7.1914, 8.7766 Å; angles 103.65, 103.65, 31.84 degrees
Positions (direct):
Cs 0.1430 0.1430 0.0681
Cs 0.8570 0.8570 0.9319
Sm 0.1625 0.1625 0.5849
Sm 0.8375 0.8375 0.4151
W 0.4900 0.4900 0.6575
W 0.5100 0.5100 0.3425
N 0.0142 0.0142 0.3588
N 0.3412 0.3412 0.6260
N 0.3709 0.3709 0.2391
N 0.6291 0.6291 0.7609
N 0.6588 0.6588 0.3740
N 0.9858 0.9858 0.6412



# 6
Below is crystalline Cs2SnN at its relaxed geometry, with properties calculated at the PBE-GGA level.

Cell lengths 5.9359, 5.9359, 5.9359 Å; angles 60.00, 60.00, 60.00 degrees
Positions (direct):
Cs 0.2500 0.2500 0.2500
Cs 0.7500 0.7500 0.7500
Sn 0.0000 0.0000 0.0000
N 0.5000 0.5000 0.5000



Respective energy relative to the elements, uncorrected values: 11.884 -0.759 6.286 -5.067 -3.317 4.854 eV/f.u..
Respective DOS at the Fermi energy values: 3.26 2.67 2.38 4.43 0.01 3.91 states/eV/cell.